Material: Cu2Ge2S5
Method: DFT, GGA-PBE
State: relaxed

POSCAR file:
```
Cu2Ge2S5
1.0
-0.863 -1.557 -3.347
1.477 -8.225 5.594
-6.088 -0.337 1.727
Cu Ge S
2 2 5
Direct
0.362 0.724 0.563 Cu
0.638 0.276 0.437 Cu
0.112 0.223 0.934 Ge
0.888 0.777 0.066 Ge
0.341 0.682 0.908 S
0.659 0.318 0.092 S
0.152 0.303 0.601 S
0.848 0.697 0.399 S
0.000 0.000 0.000 S
```

Results
E_form (uncorrected): -153 meV per atom
Calculated density: 3.03 Mg/m³
SG: C2/m
Final energy: -4.38 eV per atom
DOS(E_F): 1.10 states/eV/f.u.
Total magnetization: 0.00 μB/f.u.